1.
DFT (GGA-PBE) results for a relaxed BaRh3 crystal.

Lattice parameters (Å, degrees): 5.107 5.107 5.107 129.78 129.78 73.77
Positions (direct):
Ba (0.000, 0.000, 0.000)
Rh (0.250, 0.750, 0.500)
Rh (0.500, 0.500, 0.000)
Rh (0.750, 0.250, 0.500)

Output
magnetization = 0.000 μB/atom
crystal system = tetragonal
volume = 76.7 Å³/cell
N(E_F) = 7.06 states/eV/cell
energy of formation from the pure elements = 515 meV/atom
E_tot = -21.92 eV/cell

2.
DFT (GGA-PBE) results for a relaxed DyPPd crystal.

Lattice parameters (Å, degrees): 5.473 5.473 5.537 90.03 90.03 46.98
Positions (direct):
Dy (0.144, 0.144, 0.250)
Dy (0.856, 0.856, 0.750)
P (0.154, 0.154, 0.750)
P (0.846, 0.846, 0.250)
Pd (0.435, 0.435, 0.249)
Pd (0.565, 0.565, 0.751)

Output
magnetization = 0.000 μB/atom
crystal system = monoclinic
volume = 121.2 Å³/cell
N(E_F) = 1.39 states/eV/cell
energy of formation from the pure elements = -1080 meV/atom
E_tot = -36.89 eV/cell

3.
DFT (GGA-PBE) results for a relaxed Cs4TaTe5 crystal.

Lattice parameters (Å, degrees): 9.041 9.041 9.041 100.41 100.41 129.70
Positions (direct):
Cs (0.088, 0.698, 0.787)
Cs (0.302, 0.088, 0.390)
Cs (0.698, 0.912, 0.610)
Cs (0.912, 0.302, 0.213)
Ta (0.411, 0.411, 0.000)
Te (0.070, 0.070, 0.000)
Te (0.284, 0.429, 0.707)
Te (0.429, 0.721, 0.145)
Te (0.576, 0.284, 0.855)
Te (0.721, 0.576, 0.293)

Output
magnetization = 0.094 μB/atom
crystal system = tetragonal
uncorrected formation energy = -72 kJ per mole of atoms
volume = 514.6 Å³/cell
N(E_F) = 2.71 states/eV/cell
E_tot = -38.40 eV/cell

4.
DFT (GGA-PBE) results for a relaxed GdTmBePd crystal.

Lattice parameters (Å, degrees): 4.908 4.908 4.908 60.00 60.00 60.00
Positions (direct):
Gd (0.000, 0.000, 0.000)
Tm (0.500, 0.500, 0.500)
Be (0.750, 0.750, 0.750)
Pd (0.250, 0.250, 0.250)

Output
magnetization = 1.769 μB/atom
crystal system = cubic
volume = 83.6 Å³/cell
N(E_F) = 2.55 states/eV/cell
energy of formation from the pure elements = -354 meV/atom
E_tot = -28.89 eV/cell

5.
DFT (GGA-PBE) results for a relaxed FeTcAg crystal.

Lattice parameters (Å, degrees): 7.048 6.875 2.665 82.62 75.35 22.03
Positions (direct):
Fe (0.000, 0.000, 0.000)
Tc (0.354, 0.354, 0.646)
Ag (0.670, 0.670, 0.330)

Output
magnetization = 0.855 μB/atom
crystal system = orthorhombic
volume = 44.8 Å³/cell
N(E_F) = 2.64 states/eV/cell
energy of formation from the pure elements = 383 meV/atom
distance to the lowest polymorph of the same formula = 21 meV per atom
E_tot = -20.53 eV/cell

6.
DFT (GGA-PBE) results for a relaxed Mg2Cd2Ag3 crystal.

Lattice parameters (Å, degrees): 4.694 4.751 7.714 90.50 107.47 119.23
Positions (direct):
Mg (0.216, 0.102, 0.325)
Mg (0.784, 0.898, 0.675)
Cd (0.264, 0.640, 0.896)
Cd (0.736, 0.360, 0.104)
Ag (0.000, 0.500, 0.500)
Ag (0.478, 0.249, 0.714)
Ag (0.522, 0.751, 0.286)

Output
magnetization = 0.000 μB/atom
crystal system = triclinic
volume = 140.7 Å³/cell
N(E_F) = 1.99 states/eV/cell
energy of formation from the pure elements = -129 meV/atom
distance to the lowest polymorph of the same formula = 0 meV per atom
E_tot = -14.48 eV/cell

> Look up the E_tot of the fourth one.

-28.89 eV/cell